1.
18
Lattice="-0.969 2.456 3.213 6.505 -5.272 3.300 9.816 9.446 -4.259" Properties=species:S:1:pos:R:3 comment="K2NaCdCl5, optimized geometry, DFT PBE-GGA" n_ef_per_ev_atom=0.00 rho_g_cm3=2.497 total_energy_ev_per_cell=-56.5 formation_energy_uncorrected_ev_per_atom=-1.621 pbc="T T T"
K 7.492 5.536 -1.972
Cl 10.880 8.135 -0.244
Cl 14.261 6.378 -0.573
Cl 10.086 3.118 3.351
Cl 7.546 1.452 1.166
Na 9.398 9.828 -1.985
K 6.072 -0.628 5.003
Cl 1.546 -0.068 0.519
Cl 3.914 0.773 3.281
Na 9.881 0.581 2.537
Cl 9.589 4.078 -0.224
Cl 5.899 4.878 0.743
Cl 2.268 3.814 0.460
Cl 13.605 3.317 1.569
K 11.669 5.796 1.782
Cd 3.000 -1.580 2.112
Cd 7.977 3.999 2.041
K 4.542 1.661 0.101


2.
20
Lattice="9.136 0.000 0.000 -3.045 8.613 0.000 -3.045 -4.307 7.459" Properties=species:S:1:pos:R:3 comment="K4NaCd3Cl12, optimized geometry, DFT PBE-GGA" n_ef_per_ev_atom=1.22 rho_g_cm3=2.665 total_energy_ev_per_cell=-58.3 formation_energy_uncorrected_ev_per_atom=-1.387 pbc="T T T"
Cl 1.574 2.226 0.000
Cl 1.574 -1.113 1.928
Cd 3.045 4.307 0.000
K 4.568 0.000 0.000
Cd -3.045 2.153 3.730
Na 0.000 0.000 0.000
Cl -4.516 3.194 5.531
Cl 1.523 -1.077 5.595
K 1.523 2.153 3.730
Cl -1.523 1.077 5.595
K -1.523 4.307 0.000
Cl -1.574 1.113 1.928
Cl 4.568 3.230 1.865
Cd 3.045 -2.153 3.730
Cl 1.523 5.383 1.865
Cl 4.568 0.000 3.730
Cl 4.516 -3.194 5.531
Cl 4.516 6.387 0.000
K -1.523 -2.153 3.730
Cl -1.523 4.307 3.730


3.
5
Lattice="-2.769 -4.415 -1.643 -0.862 -1.399 5.211 -5.131 3.213 0.014" Properties=species:S:1:pos:R:3 comment="KNa2CdCl, optimized geometry, DFT PBE-GGA" n_ef_per_ev_atom=0.68 rho_g_cm3=2.140 total_energy_ev_per_cell=-9.5 formation_energy_uncorrected_ev_per_atom=-0.594 pbc="T T T"
Na -0.431 -0.699 2.606
Cd -4.381 -1.300 1.791
Na -1.385 -2.207 -0.821
K -2.565 1.607 0.007
Cl 0.000 0.000 0.000


4.
15
Lattice="8.297 0.000 0.000 -4.148 7.194 -0.026 0.000 -4.772 7.223" Properties=species:S:1:pos:R:3 comment="K3Na3CdCl8, optimized geometry, DFT PBE-GGA" n_ef_per_ev_atom=0.00 rho_g_cm3=2.248 total_energy_ev_per_cell=-48.8 formation_energy_uncorrected_ev_per_atom=-1.724 pbc="T T T"
Cl 6.363 -1.275 2.119
K 0.000 0.000 0.000
Na 2.074 1.211 3.598
Cl 0.000 2.403 1.993
Na -2.074 1.211 3.598
Cl 2.215 3.696 5.078
Cl -2.215 3.696 5.078
K 2.074 3.597 -0.013
Na 4.148 -2.386 3.612
Cl 4.148 2.568 2.105
Cl 0.000 -0.147 5.091
Cl 4.148 0.019 5.203
Cl 1.934 -1.275 2.119
K -2.074 3.597 -0.013
Cd 0.000 -2.386 3.612


5.
10
Lattice="-4.598 2.166 5.047 -1.944 -4.484 5.238 2.455 1.175 6.817" Properties=species:S:1:pos:R:3 comment="KNaCd2Cl6, optimized geometry, DFT PBE-GGA" n_ef_per_ev_atom=0.00 rho_g_cm3=3.079 total_energy_ev_per_cell=-29.2 formation_energy_uncorrected_ev_per_atom=-1.387 pbc="T T T"
Cl 0.328 -0.299 7.732
Cl -1.935 1.677 9.691
Cl -4.730 -0.707 9.358
Cl -1.215 -1.704 10.649
K -3.603 -1.084 12.433
Cd 2.290 1.106 6.697
Na -1.852 -0.634 3.668
Cd -2.288 -0.674 8.372
Cl -2.300 -3.131 7.424
Cl -2.880 0.535 6.109


6.
9
Lattice="6.785 0.000 0.156 3.393 5.477 0.078 0.161 0.000 6.902" Properties=species:S:1:pos:R:3 comment="KCdNiCl6, optimized geometry, DFT PBE-GGA" n_ef_per_ev_atom=0.01 rho_g_cm3=2.740 total_energy_ev_per_cell=-27.8 formation_energy_uncorrected_ev_per_atom=-0.994 pbc="T T T"
Cd 6.865 3.506 3.607
Cl 4.506 3.369 2.256
Cl 5.456 1.961 5.092
Cl 4.335 0.225 2.228
Cl 1.489 1.961 1.966
K 3.553 5.459 6.980
Cl 2.611 0.225 4.830
Cl 2.439 3.368 4.802
Ni 3.473 1.831 3.529